Entry 1:
Computed, not measured: an optimized crystal structure of LaSe7 at the PBE level of DFT.

Results
DOS at the Fermi energy   0.7035 states/eV per atom
Space group   Fm-3m
Uncorrected formation energy   -113.8 meV per atom

a b c (Å): 6.302 6.302 6.302
angles (deg): 60.00 60.00 60.00
Fractional positions:
La (0.000, 0.000, 0.000)
Se (0.500, 0.500, 0.000)
Se (0.500, 0.500, 0.500)
Se (0.000, 0.500, 0.000)
Se (0.500, 0.000, 0.500)
Se (0.000, 0.500, 0.500)
Se (0.500, 0.000, 0.000)
Se (0.000, 0.000, 0.500)



Entry 2:
Computed, not measured: an optimized crystal structure of LaSe at the PBE level of DFT.

Results
DOS at the Fermi energy   0.8033 states/eV per atom
Space group   Pm-3m
Uncorrected formation energy   -1766.6 meV per atom

a b c (Å): 3.708 3.708 3.708
angles (deg): 90.00 90.00 90.00
Fractional positions:
La (0.000, 0.000, 0.000)
Se (0.500, 0.500, 0.500)



Entry 3:
Computed, not measured: an optimized crystal structure of LaSe5 at the PBE level of DFT.

Results
DOS at the Fermi energy   0.5744 states/eV per atom
Space group   Cm
Uncorrected formation energy   -718.3 meV per atom

a b c (Å): 5.688 5.688 7.736
angles (deg): 83.82 83.82 44.23
Fractional positions:
Se (0.372, 0.372, 0.302)
La (0.036, 0.036, 0.967)
Se (0.331, 0.331, 0.993)
Se (0.596, 0.596, 0.233)
Se (0.636, 0.636, 0.697)
Se (0.862, 0.862, 0.641)



Q: Which value of DOS at the Fermi energy does entry 2 give?
A: 0.8033 states/eV per atom



Q: Among the records above, which one has the lowest uncorrected formation energy?
A: LaSe